Record 1
# NaFeIr (PBE-GGA, relaxed)
data_NaFeIr
_chemical_formula_sum 'Na2 Fe2 Ir2'
_symmetry_space_group_name_H-M 'P -1'
_symmetry_Int_Tables_number 2
_cell_length_a 4.4951
_cell_length_b 4.4959
_cell_length_c 5.5506
_cell_angle_alpha 66.66
_cell_angle_beta 66.52
_cell_angle_gamma 73.77
loop_
_symmetry_equiv_pos_as_xyz
'x,y,z'
'-x,-y,-z'
loop_
_atom_site_label
_atom_site_fract_x
_atom_site_fract_y
_atom_site_fract_z
Na1 0.1825 0.1825 0.4170
Fe1 0.2131 0.7878 0.0002
Ir1 0.3676 0.3690 0.7669
# Total moment: 0.70 μB per atom
# Energy: -5.802 eV per atom
# Excess energy over the best structure of this formula in the dataset: 151.4 meV per atom
# DOS(E_F): 5.2 states/eV per cell


Record 2
# Mn2NiPt (PBE-GGA, relaxed)
data_Mn2NiPt
_chemical_formula_sum 'Mn4 Ni2 Pt2'
_symmetry_space_group_name_H-M 'I 4/m m m'
_symmetry_Int_Tables_number 139
_symmetry_space_group_name_Hall '-I 4 2'
_cell_length_a 4.0660
_cell_length_b 4.0660
_cell_length_c 6.7412
_cell_angle_alpha 90.00
_cell_angle_beta 90.00
_cell_angle_gamma 90.00
loop_
_atom_site_label
_atom_site_fract_x
_atom_site_fract_y
_atom_site_fract_z
Mn1 0.0000 0.5000 0.2500
Ni1 0.0000 0.0000 0.0000
Pt1 0.0000 0.0000 0.5000
# Total moment: 2.18 μB per atom
# Energy: -7.728 eV per atom
# DOS(E_F): 3.6 states/eV per cell


Record 3
# CoCu3 (PBE-GGA, relaxed)
data_CoCu3
_chemical_formula_sum 'Co2 Cu6'
_symmetry_space_group_name_H-M 'P m m n'
_symmetry_Int_Tables_number 59
_cell_length_a 4.1742
_cell_length_b 5.1229
_cell_length_c 4.3807
_cell_angle_alpha 90.00
_cell_angle_beta 90.00
_cell_angle_gamma 90.00
loop_
_symmetry_equiv_pos_as_xyz
'x,y,z'
'-x,-y,-z'
'-x+1/2,-y+1/2,z'
'x+1/2,y+1/2,-z'
'x+1/2,-y,-z'
'-x+1/2,y,z'
'-x,y+1/2,-z'
'x,-y+1/2,z'
loop_
_atom_site_label
_atom_site_fract_x
_atom_site_fract_y
_atom_site_fract_z
Co1 0.2500 0.2500 0.1686
Cu1 0.2500 0.0001 0.6687
Cu2 0.2500 0.7500 0.1660
# Total moment: 0.33 μB per atom
# Energy: -4.668 eV per atom
# DOS(E_F): 14.2 states/eV per cell


Record 4
# PuTaNbO6 (PBE-GGA, relaxed)
data_PuTaNbO6
_chemical_formula_sum 'Pu2 Ta2 Nb2 O12'
_symmetry_space_group_name_H-M 'P -3 1 c'
_symmetry_Int_Tables_number 163
_symmetry_space_group_name_Hall '-P 3 2c'
_cell_length_a 5.3227
_cell_length_b 5.3227
_cell_length_c 10.1287
_cell_angle_alpha 90.00
_cell_angle_beta 90.00
_cell_angle_gamma 120.00
loop_
_atom_site_label
_atom_site_fract_x
_atom_site_fract_y
_atom_site_fract_z
Pu1 0.0000 0.0000 0.0000
Ta1 0.3333 0.6667 0.2500
Nb1 0.3333 0.6667 0.7500
O1 0.0073 0.3593 0.1402
# Total moment: 0.67 μB per atom
# Formation energy (no corrections): -2.75 eV/atom
# Energy: -10.084 eV per atom
# DOS(E_F): 16.0 states/eV per cell


Record 5
# TaCdCuNi (PBE-GGA, relaxed)
data_TaCdCuNi
_chemical_formula_sum 'Ta4 Cd4 Cu4 Ni4'
_symmetry_space_group_name_H-M 'F -4 3 m'
_symmetry_Int_Tables_number 216
_symmetry_space_group_name_Hall 'F -4 2 3'
_cell_length_a 6.2053
_cell_length_b 6.2053
_cell_length_c 6.2053
_cell_angle_alpha 90.00
_cell_angle_beta 90.00
_cell_angle_gamma 90.00
loop_
_atom_site_label
_atom_site_fract_x
_atom_site_fract_y
_atom_site_fract_z
Ta1 0.0000 0.0000 0.0000
Cd1 0.0000 0.0000 0.5000
Cu1 0.2500 0.2500 0.2500
Ni1 0.2500 0.2500 0.7500
# Total moment: 0.00 μB per atom
# Energy: -5.594 eV per atom
# DOS(E_F): 8.3 states/eV per cell


Record 6
# V3RuW (PBE-GGA, relaxed)
data_V3RuW
_chemical_formula_sum 'V3 Ru1 W1'
_symmetry_space_group_name_H-M 'P m -3 m'
_symmetry_Int_Tables_number 221
_symmetry_space_group_name_Hall '-P 4 2 3'
_cell_length_a 4.4991
_cell_length_b 4.4991
_cell_length_c 4.4991
_cell_angle_alpha 90.00
_cell_angle_beta 90.00
_cell_angle_gamma 90.00
loop_
_atom_site_label
_atom_site_fract_x
_atom_site_fract_y
_atom_site_fract_z
V1 0.0000 0.0000 0.5000
Ru1 0.5000 0.5000 0.5000
W1 0.0000 0.0000 0.0000
# Total moment: 0.03 μB per atom
# Energy: -8.272 eV per atom
# Excess energy over the best structure of this formula in the dataset: 1529.3 meV per atom
# DOS(E_F): 10.3 states/eV per cell


Record 7
# La4TlRe (PBE-GGA, relaxed)
data_La4TlRe
_chemical_formula_sum 'La16 Tl4 Re4'
_symmetry_space_group_name_H-M 'F -4 3 m'
_symmetry_Int_Tables_number 216
_symmetry_space_group_name_Hall 'F -4 2 3'
_cell_length_a 8.8547
_cell_length_b 8.8547
_cell_length_c 8.8547
_cell_angle_alpha 90.00
_cell_angle_beta 90.00
_cell_angle_gamma 90.00
loop_
_atom_site_label
_atom_site_fract_x
_atom_site_fract_y
_atom_site_fract_z
La1 0.1233 0.1233 0.1233
Tl1 0.0000 0.0000 0.5000
Re1 0.2500 0.2500 0.7500
# Total moment: 0.00 μB per atom
# Energy: -4.946 eV per atom
# Excess energy over the best structure of this formula in the dataset: 957.7 meV per atom
# DOS(E_F): 39.4 states/eV per cell


Record 8
# Pu2MgZr (PBE-GGA, relaxed)
data_Pu2MgZr
_chemical_formula_sum 'Pu2 Mg1 Zr1'
_symmetry_space_group_name_H-M 'P 4/m m m'
_symmetry_Int_Tables_number 123
_symmetry_space_group_name_Hall '-P 4 2'
_cell_length_a 4.4136
_cell_length_b 4.4136
_cell_length_c 4.8760
_cell_angle_alpha 90.00
_cell_angle_beta 90.00
_cell_angle_gamma 90.00
loop_
_atom_site_label
_atom_site_fract_x
_atom_site_fract_y
_atom_site_fract_z
Pu1 0.0000 0.5000 0.0000
Mg1 0.0000 0.0000 0.5000
Zr1 0.5000 0.5000 0.5000
# Total moment: 2.74 μB per atom
# Energy: -9.513 eV per atom
# Excess energy over the best structure of this formula in the dataset: 22.6 meV per atom
# DOS(E_F): 11.5 states/eV per cell